1 | ## Mg2Mo2Pb (PBE)

Data for a relaxed structure of Mg2Mo2Pb.

```
data_Mg2Mo2Pb
_cell_length_a 3.525
_cell_length_b 3.525
_cell_length_c 18.738
_cell_angle_alpha 90.00
_cell_angle_beta 90.00
_cell_angle_gamma 90.00
_symmetry_space_group_name_H-M 'I 4/m m m'
_symmetry_Int_Tables_number 139
_symmetry_space_group_name_Hall '-I 4 2'
loop_
_atom_site_label
_atom_site_fract_x
_atom_site_fract_y
_atom_site_fract_z
Mg1 0.000 0.000 0.119
Mo1 0.000 0.500 0.250
Pb1 0.000 0.000 0.500
```

theoretical density: 6.38 Mg/m³

---

2 | ## Mg2Mo2Pb (PBE)

Data for a relaxed structure of Mg2Mo2Pb.

```
data_Mg2Mo2Pb
_cell_length_a 7.233
_cell_length_b 7.233
_cell_length_c 3.542
_cell_angle_alpha 90.00
_cell_angle_beta 90.00
_cell_angle_gamma 90.00
_symmetry_space_group_name_H-M 'P 4/m b m'
_symmetry_Int_Tables_number 127
_symmetry_space_group_name_Hall '-P 4 2ab'
loop_
_atom_site_label
_atom_site_fract_x
_atom_site_fract_y
_atom_site_fract_z
Mg1 0.125 0.375 0.000
Mo1 0.173 0.673 0.500
Pb1 0.000 0.000 0.000
```

theoretical density: 8.02 Mg/m³

---

Relative energies with respect to the most stable structure, expressed in eV/atom: 1 0.000; 2 0.364.

---

1 | ## Mg2MoPd2 (PBE)

Data for a relaxed structure of Mg2MoPd2.

```
data_Mg2MoPd2
_cell_length_a 7.591
_cell_length_b 7.591
_cell_length_c 2.849
_cell_angle_alpha 90.00
_cell_angle_beta 90.00
_cell_angle_gamma 90.00
_symmetry_space_group_name_H-M 'P 4/m b m'
_symmetry_Int_Tables_number 127
_symmetry_space_group_name_Hall '-P 4 2ab'
loop_
_atom_site_label
_atom_site_fract_x
_atom_site_fract_y
_atom_site_fract_z
Mg1 0.160 0.340 0.000
Mo1 0.000 0.000 0.500
Pd1 0.138 0.638 0.500
```

theoretical density: 7.23 Mg/m³

---

2 | ## Mg2MoPd2 (PBE)

Data for a relaxed structure of Mg2MoPd2.

```
data_Mg2MoPd2
_cell_length_a 3.790
_cell_length_b 3.790
_cell_length_c 12.434
_cell_angle_alpha 90.00
_cell_angle_beta 90.00
_cell_angle_gamma 90.00
_symmetry_space_group_name_H-M 'I 4/m m m'
_symmetry_Int_Tables_number 139
_symmetry_space_group_name_Hall '-I 4 2'
loop_
_atom_site_label
_atom_site_fract_x
_atom_site_fract_y
_atom_site_fract_z
Mg1 0.000 0.500 0.250
Mo1 0.000 0.000 0.000
Pd1 0.000 0.000 0.398
```

theoretical density: 6.64 Mg/m³

---

Relative energies with respect to the most stable structure, expressed in eV/atom: 1 0.000; 2 0.372.

---

1 | ## Mg3MoPd (PBE)

Data for a relaxed structure of Mg3MoPd.

```
data_Mg3MoPd
_cell_length_a 4.899
_cell_length_b 4.899
_cell_length_c 4.899
_cell_angle_alpha 90.00
_cell_angle_beta 90.00
_cell_angle_gamma 90.00
_symmetry_space_group_name_H-M 'P m -3 m'
_symmetry_Int_Tables_number 221
_symmetry_space_group_name_Hall '-P 4 2 3'
loop_
_atom_site_label
_atom_site_fract_x
_atom_site_fract_y
_atom_site_fract_z
Mg1 0.000 0.000 0.500
Mo1 0.500 0.500 0.500
Pd1 0.000 0.000 0.000
```

theoretical density: 3.89 Mg/m³

---

2 | ## Mg3MoPd (PBE)

Data for a relaxed structure of Mg3MoPd.

```
data_Mg3MoPd
_cell_length_a 5.120
_cell_length_b 5.120
_cell_length_c 5.120
_cell_angle_alpha 90.00
_cell_angle_beta 90.00
_cell_angle_gamma 90.00
_symmetry_space_group_name_H-M 'P m -3 m'
_symmetry_Int_Tables_number 221
_symmetry_space_group_name_Hall '-P 4 2 3'
loop_
_atom_site_label
_atom_site_fract_x
_atom_site_fract_y
_atom_site_fract_z
Mg1 0.000 0.000 0.500
Mo1 0.000 0.000 0.000
Pd1 0.500 0.500 0.500
```

theoretical density: 3.41 Mg/m³

---

Relative energies with respect to the most stable structure, expressed in eV/atom: 1 0.000; 2 0.647.

---

1 | ## MgMo2Pt2 (PBE)

Data for a relaxed structure of MgMo2Pt2.

```
data_MgMo2Pt2
_cell_length_a 4.006
_cell_length_b 4.006
_cell_length_c 11.508
_cell_angle_alpha 90.00
_cell_angle_beta 90.00
_cell_angle_gamma 90.00
_symmetry_space_group_name_H-M 'I 4/m m m'
_symmetry_Int_Tables_number 139
_symmetry_space_group_name_Hall '-I 4 2'
loop_
_atom_site_label
_atom_site_fract_x
_atom_site_fract_y
_atom_site_fract_z
Mg1 0.000 0.000 0.000
Mo1 0.000 0.000 0.404
Pt1 0.000 0.500 0.250
```

theoretical density: 10.90 Mg/m³

---

2 | ## MgMo2Pt2 (PBE)

Data for a relaxed structure of MgMo2Pt2.

```
data_MgMo2Pt2
_cell_length_a 7.917
_cell_length_b 7.917
_cell_length_c 2.753
_cell_angle_alpha 90.00
_cell_angle_beta 90.00
_cell_angle_gamma 90.00
_symmetry_space_group_name_H-M 'P 4/m b m'
_symmetry_Int_Tables_number 127
_symmetry_space_group_name_Hall '-P 4 2ab'
loop_
_atom_site_label
_atom_site_fract_x
_atom_site_fract_y
_atom_site_fract_z
Mg1 0.000 0.000 0.000
Mo1 0.117 0.383 0.000
Pt1 0.174 0.674 0.500
```

theoretical density: 11.67 Mg/m³

---

Relative energies with respect to the most stable structure, expressed in eV/atom: 1 0.307; 2 0.000.